## Ba3FeO4 (PBE+U)

Data for a relaxed structure of Ba3FeO4.

abc: 6.3841 6.3841 7.8156
angles: 90.00 90.00 90.00
Space group I-42m (No. 121)
One atom of each set of equivalent atoms:
Ba  0.0000  0.0000  0.0000 [2 per cell]
Ba  0.0000  0.5000  0.2500 [4 per cell]
Fe  0.0000  0.0000  0.5000 [2 per cell]
O  0.2186  0.2186  0.5785 [8 per cell]

Properties
total DFT energy (no corrections): -6.042 eV per atom
DOS at the Fermi energy: 0.00 states/eV per cell